Li4Al2ZnPt | PBE-GGA | relaxed

Geometry as POSCAR:
```
Li4Al2ZnPt
1.0
4.316 0.000 0.000
0.000 4.316 0.000
0.000 0.000 6.116
Al Li Pt Zn
2 4 1 1
Direct
0.500 0.000 0.232 Al
0.000 0.500 0.768 Al
0.500 0.500 0.000 Li
0.000 0.500 0.250 Li
0.000 0.000 0.500 Li
0.500 0.000 0.750 Li
0.000 0.000 0.000 Pt
0.500 0.500 0.500 Zn
```

ScCoNiSb | PBE-GGA | relaxed

Values from the calculation:
The relative energy among the computed polymorphs comes out at 27.64 kJ per mole of atoms.

Geometry as POSCAR:
```
ScCoNiSb
1.0
0.000 3.136 3.136
3.136 0.000 3.136
3.136 3.136 0.000
Co Ni Sb Sc
1 1 1 1
Direct
0.000 0.000 0.000 Co
0.750 0.750 0.750 Ni
0.250 0.250 0.250 Sb
0.500 0.500 0.500 Sc
```

Ga2AgAuS4 | PBE-GGA | relaxed

Values from the calculation:
The relative energy among the computed polymorphs comes out at 0.00 kJ per mole of atoms.

Geometry as POSCAR:
```
Ga2AgAuS4
1.0
4.978 -4.261 1.397
5.325 3.829 1.368
-6.198 0.275 2.529
Ag Au Ga S
1 1 2 4
Direct
0.000 0.000 0.000 Ag
0.750 0.250 0.500 Au
0.500 0.500 0.000 Ga
0.250 0.750 0.500 Ga
0.157 0.622 0.031 S
0.874 0.843 0.464 S
0.378 0.410 0.536 S
0.590 0.126 0.969 S
```

La2Sm2Pb | PBE-GGA | relaxed

Geometry as POSCAR:
```
La2Sm2Pb
1.0
-0.481 7.740 0.701
-5.787 0.248 -6.707
-3.736 -0.523 3.204
La Pb Sm
4 2 4
Direct
0.299 0.127 0.500 La
0.799 0.373 0.500 La
0.201 0.627 0.500 La
0.701 0.873 0.500 La
0.000 0.000 0.000 Pb
0.500 0.500 0.000 Pb
0.630 0.158 0.000 Sm
0.130 0.342 0.000 Sm
0.870 0.658 0.000 Sm
0.370 0.842 0.000 Sm
```

Y4Nb2Sb3N3 | PBE-GGA | relaxed

Geometry as POSCAR:
```
Y4Nb2Sb3N3
1.0
-0.541 4.422 -4.172
1.886 -0.993 -5.719
-12.226 -3.584 -6.635
N Nb Sb Y
6 4 6 8
Direct
0.000 0.500 0.000 N
0.336 0.827 0.000 N
0.664 0.173 0.000 N
0.827 0.336 0.500 N
0.500 0.000 0.500 N
0.173 0.664 0.500 N
0.635 0.475 0.076 Nb
0.525 0.365 0.424 Nb
0.475 0.635 0.576 Nb
0.365 0.525 0.924 Nb
0.285 0.417 0.249 Sb
0.880 0.120 0.250 Sb
0.583 0.715 0.251 Sb
0.417 0.285 0.749 Sb
0.120 0.880 0.750 Sb
0.715 0.583 0.751 Sb
0.301 0.136 0.092 Y
0.968 0.803 0.092 Y
0.197 0.032 0.408 Y
0.864 0.699 0.408 Y
0.136 0.301 0.592 Y
0.803 0.968 0.592 Y
0.032 0.197 0.908 Y
0.699 0.864 0.908 Y
```

MoIrOs2 | PBE-GGA | relaxed

Values from the calculation:
The formation energy from the elements is -0.20 eV/atom. The relative energy among the computed polymorphs comes out at 0.00 kJ per mole of atoms.

Geometry as POSCAR:
```
MoIrOs2
1.0
-5.409 0.115 -1.181
1.793 -2.746 4.463
-0.452 3.644 2.423
Ir Mo Os
2 2 4
Direct
0.166 0.834 0.250 Ir
0.834 0.166 0.750 Ir
0.664 0.336 0.250 Mo
0.336 0.664 0.750 Mo
0.173 0.333 0.250 Os
0.667 0.827 0.250 Os
0.333 0.173 0.750 Os
0.827 0.667 0.750 Os
```

Ordered final energy results: -3.269, -5.941, -4.018, -4.732, -7.922, -10.737; unit eV per atom.